Entry from the Alexandria database: an optimized crystal structure of NaSiNiF6 (PBE+U).

Computed properties:
Final energy ... -4.77 eV/atom
M_tot ... 2.348 μB per cell

Cell: 5.3555 5.3555 9.2476 Å, 90.00 90.00 120.00°
Last column: nearest neighbours and their distance in Å.
Space group P-31c (No. 163)
One atom of each set of equivalent atoms:
Na 0.0000 0.0000 0.0000  6 F 2.40
Si 0.3333 0.6667 0.2500  6 F 1.73
Ni 0.3333 0.6667 0.7500  6 F 2.23
F 0.0689 0.4025 0.1431  1 Si 1.73